1.
Computed, not measured: a relaxed Er4GeAsS2 crystal at the PBE level of DFT.

## Properties
VASP energy: -6.09 eV/atom
energy relative to the elements, uncorrected: -1.619 eV per atom

abc: 4.0070 6.8928 6.9454
angles: 70.44 90.00 90.00
Element x y z (fractional)
Er1 0.0000 0.2518 0.2524
Er2 0.0000 0.7482 0.7476
Er3 0.5000 0.2521 0.7470
Er4 0.5000 0.7479 0.2530
Ge1 0.0000 0.5000 0.5000
S1 0.0000 0.0000 0.0000
S2 0.5000 0.0000 0.5000
As1 0.5000 0.5000 0.0000


2.
Computed, not measured: a relaxed BPRhC crystal at the PBE level of DFT.

## Properties
VASP energy: -7.11 eV/atom
formation enthalpy at 0 K: 0.054 eV per atom

abc: 2.7886 2.7707 8.2720
angles: 82.86 89.47 60.28
Element x y z (fractional)
P1 0.9457 0.6311 0.4086
Rh1 0.5647 0.3989 0.1983
B1 0.8510 0.8580 0.9298
C1 0.5049 0.5299 0.9324